Run A
Material: DyYTlAu
Method: DFT, PBE
State: relaxed

abc: 5.2444 5.2444 5.2444
angles: 60.00 60.00 60.00
Last column: nearest neighbours and their distance in Å.
Element x y z (fractional)
Y (0.7500, 0.7500, 0.7500)  4 Tl 3.21, 4 Au 3.21
Tl (0.5000, 0.5000, 0.5000)  4 Dy 3.21, 4 Y 3.21
Au (0.0000, 0.0000, 0.0000)  4 Dy 3.21, 4 Y 3.21
Dy (0.2500, 0.2500, 0.2500)  4 Tl 3.21, 4 Au 3.21

***

Run B
Material: DyYTlAu
Method: DFT, PBE
State: relaxed

abc: 3.6311 3.6311 7.7040
angles: 90.00 90.00 90.00
Last column: nearest neighbours and their distance in Å.
Element x y z (fractional)
Dy (0.5000, 0.5000, 0.1279)  4 Au 3.10, 4 Tl 3.31
Y (0.5000, 0.5000, 0.5883)  4 Au 3.14, 4 Tl 3.30
Tl (0.0000, 0.0000, 0.8576)  4 Y 3.30, 4 Dy 3.31, 4 Tl 3.63
Au (0.0000, 0.0000, 0.3541)  4 Dy 3.10, 4 Y 3.14

***

What should be chosen as the least stable of them? Choose run A.